Compound: Cd2CoPbO6
Source: Alexandria
Functional: GGA+U
Structure: optimized geometry

Cell and atoms, written as CIF:
```
data_Cd2CoPbO6
_chemical_formula_sum 'Cd2 Co1 Pb1 O6'
_cell_length_a 5.341
_cell_length_b 5.341
_cell_length_c 5.123
_cell_angle_alpha 90.00
_cell_angle_beta 90.00
_cell_angle_gamma 90.00
_space_group_name_H-M_alt 'P 4 m m'
_space_group_IT_number 99
loop_
_space_group_symop_operation_xyz
'x,y,z'
'-y,x,z'
'-x,-y,z'
'y,-x,z'
'-x,y,z'
'y,x,z'
'x,-y,z'
'-y,-x,z'
loop_
_atom_site_label
_atom_site_fract_x
_atom_site_fract_y
_atom_site_fract_z
_atom_site_occupancy
Cd1 0.000 0.500 0.000 1
Co1 0.000 0.000 0.603 1
Pb1 0.500 0.500 0.566 1
O1 0.000 0.000 0.262 1
O2 0.236 0.236 0.737 1
O3 0.500 0.500 0.163 1
```

Calculated values
calculated density: 6.67 Mg/m³
total DFT energy (no corrections): -4.70 eV per atom
size of the total moment: 3.2 μB per cell
volume: 146 Å³/cell